Record 1
This record from the Open Quantum Materials Database describes an optimized crystal structure of MoAu2. The functional is PBE.

total moment = 0.007 μB per atom
E_form = 0.709 eV per atom
total energy = -5.084 eV/atom
volume = 17.8 Å³ per atom

Lattice parameters (Å, degrees): 5.3225 5.3225 5.3225 60.00 60.00 60.00
Closest atoms and distances in Å follow each position.
Element x y z (fractional)
Mo1 0.1250 0.1250 0.1250  12 Au 3.12, 4 Mo 3.26
Mo2 0.8750 0.8750 0.8750  12 Au 3.12, 4 Mo 3.26
Au1 0.0000 0.5000 0.5000  6 Au 2.66
Au2 0.5000 0.0000 0.5000  6 Au 2.66
Au3 0.5000 0.5000 0.0000  6 Au 2.66
Au4 0.5000 0.5000 0.5000  6 Au 2.66

---

Record 2
This record from the Open Quantum Materials Database describes an optimized crystal structure of KSmGe. The functional is PBE.

total moment = 0.000 μB per atom
total energy = -3.532 eV/atom
relative energy among the computed polymorphs = 0 meV per atom
volume = 33.9 Å³ per atom

Lattice parameters (Å, degrees): 5.2370 5.2370 5.2370 60.00 60.00 60.00
Closest atoms and distances in Å follow each position.
Element x y z (fractional)
K1 0.0000 0.0000 0.0000  4 Ge 3.21
Sm1 0.5000 0.5000 0.5000  4 Ge 3.21
Ge1 0.2500 0.2500 0.2500  4 K 3.21, 4 Sm 3.21

---

Record 3
This record from the Open Quantum Materials Database describes an optimized crystal structure of LiCd6Ag. The functional is PBE.

total energy = -1.376 eV/atom
volume = 19.4 Å³ per atom

Lattice parameters (Å, degrees): 4.8270 6.0893 5.2879 90.00 90.00 90.00
Closest atoms and distances in Å follow each position.
Element x y z (fractional)
Li1 0.0000 0.0000 0.0000  12 Cd 2.94-3.04
Cd1 0.0000 0.2458 0.5010  8 Cd 2.99-3.10, 2 Ag 3.00, 2 Li 3.03-3.04
Cd2 0.0000 0.5000 0.9986  2 Ag 2.99, 8 Cd 3.00-3.07, 2 Li 3.04
Cd3 0.0000 0.7542 0.5010  8 Cd 2.99-3.10, 2 Ag 3.00, 2 Li 3.03-3.04
Cd4 0.5000 0.0000 0.6827  2 Li 2.94, 8 Cd 2.95-3.12, 2 Ag 3.05
Cd5 0.5000 0.2454 0.1646  8 Cd 2.95-3.12, 2 Li 2.97, 2 Ag 3.06-3.07
Cd6 0.5000 0.7546 0.1646  8 Cd 2.95-3.12, 2 Li 2.97, 2 Ag 3.06-3.07
Ag1 0.5000 0.5000 0.6656  12 Cd 2.99-3.07

---

Record 4
This record from the Open Quantum Materials Database describes an optimized crystal structure of NaPmAu. The functional is PBE.

total moment = 0.001 μB per atom
total energy = -3.416 eV/atom
relative energy among the computed polymorphs = 0 meV per atom
volume = 28.8 Å³ per atom

Lattice parameters (Å, degrees): 4.9649 4.9649 4.9649 60.00 60.00 60.00
Closest atoms and distances in Å follow each position.
Element x y z (fractional)
Na1 0.0000 0.0000 0.0000  4 Au 3.04
Pm1 0.5000 0.5000 0.5000  4 Au 3.04
Au1 0.2500 0.2500 0.2500  4 Pm 3.04, 4 Na 3.04

---

Record 5
This record from the Open Quantum Materials Database describes an optimized crystal structure of BeZnAg. The functional is PBE.

total energy = -2.355 eV/atom
relative energy among the computed polymorphs = 0 meV per atom
volume = 15.0 Å³ per atom

Lattice parameters (Å, degrees): 3.9917 3.9917 3.9917 60.00 60.00 60.00
Closest atoms and distances in Å follow each position.
Element x y z (fractional)
Be1 0.0000 0.0000 0.0000  4 Zn 2.44, 4 Ag 2.44
Zn1 0.2500 0.2500 0.2500  4 Be 2.44
Ag1 0.7500 0.7500 0.7500  4 Be 2.44

---

Record 6
This record from the Open Quantum Materials Database describes an optimized crystal structure of NaZr. The functional is PBE.

total moment = 0.006 μB per atom
total energy = -4.492 eV/atom
relative energy among the computed polymorphs = 186 meV per atom
volume = 24.6 Å³ per atom

Lattice parameters (Å, degrees): 3.1075 5.1185 6.1925 90.00 90.00 90.00
Closest atoms and distances in Å follow each position.
Element x y z (fractional)
Na1 0.2500 0.2500 0.0142  6 Na 3.00-3.11
Na2 0.7500 0.7500 0.9858  6 Na 3.00-3.11
Zr1 0.2500 0.7500 0.4920  6 Zr 3.00-3.11
Zr2 0.7500 0.2500 0.5080  6 Zr 3.00-3.11

---

Record 7
This record from the Open Quantum Materials Database describes an optimized crystal structure of Tb2In2PdPt3. The functional is PBE.

total moment = 0.001 μB per atom
total energy = -5.698 eV/atom
volume = 20.7 Å³ per atom

Lattice parameters (Å, degrees): 4.5968 4.5968 9.0496 90.00 90.00 120.00
Closest atoms and distances in Å follow each position.
Element x y z (fractional)
Tb1 0.0000 0.0000 0.0000  5 Pt 2.99-3.09, 3 Pd 3.05
Tb2 0.3333 0.6667 0.4948  7 Pt 3.00-3.10, 1 Pd 3.08
In1 0.6667 0.3333 0.2459  6 Pt 2.79
In2 0.6667 0.3333 0.7445  3 Pt 2.76, 3 Pd 2.78
Pd1 0.3333 0.6667 0.8349  3 In 2.78, 4 Pt 2.87-3.09, 4 Tb 3.05-3.08
Pt1 0.0000 0.0000 0.3394  3 In 2.79, 1 Pt 2.89, 4 Tb 3.00-3.07
Pt2 0.0000 0.0000 0.6590  3 In 2.76, 1 Pt 2.89, 4 Tb 3.04-3.09, 3 Pd 3.09
Pt3 0.3333 0.6667 0.1525  3 In 2.79, 1 Pd 2.87, 4 Tb 2.99-3.10

---

Record 8
This record from the Open Quantum Materials Database describes an optimized crystal structure of BaDy2ZnO5. The functional is PBE.

total moment = 0.000 μB per atom
total energy = -7.002 eV/atom
volume = 13.8 Å³ per atom

Lattice parameters (Å, degrees): 12.3306 5.7120 7.0707 90.00 90.00 90.00
Closest atoms and distances in Å follow each position.
Element x y z (fractional)
Ba1 0.1005 0.2500 0.0767  7 O 2.70-3.01
Ba2 0.3995 0.7500 0.5767  7 O 2.70-3.01
Ba3 0.6005 0.2500 0.4233  7 O 2.70-3.01
Ba4 0.8995 0.7500 0.9233  7 O 2.70-3.01
Dy1 0.0744 0.7500 0.4004  7 O 2.29-2.36
Dy2 0.2079 0.2500 0.6198  7 O 2.29-2.39
Dy3 0.2921 0.7500 0.1198  7 O 2.29-2.39
Dy4 0.4256 0.2500 0.9004  7 O 2.29-2.36
Dy5 0.5744 0.7500 0.0996  7 O 2.29-2.36
Dy6 0.7079 0.2500 0.8802  7 O 2.29-2.39
Dy7 0.7921 0.7500 0.3802  7 O 2.29-2.39
Dy8 0.9256 0.2500 0.5996  7 O 2.29-2.36
Zn1 0.1508 0.7500 0.8083  5 O 1.99-2.13
Zn2 0.3492 0.2500 0.3083  5 O 1.99-2.13
Zn3 0.6508 0.7500 0.6917  5 O 1.99-2.13
Zn4 0.8492 0.2500 0.1917  5 O 1.99-2.13
O1 0.0654 0.5016 0.6651  1 Zn 2.04
O2 0.0654 0.9984 0.6651  1 Zn 2.04
O3 0.1001 0.7500 0.0755  1 Zn 1.99
O4 0.2243 0.0004 0.3587  1 Zn 2.13, 3 Dy 2.34-2.37
O5 0.2243 0.4996 0.3587  1 Zn 2.13, 3 Dy 2.34-2.37
O6 0.2757 0.9996 0.8587  1 Zn 2.13, 3 Dy 2.34-2.37
O7 0.2757 0.5004 0.8587  1 Zn 2.13, 3 Dy 2.34-2.37
O8 0.3999 0.2500 0.5755  1 Zn 1.99
O9 0.4346 0.0016 0.1651  1 Zn 2.04
O10 0.4346 0.4984 0.1651  1 Zn 2.04
O11 0.5654 0.5016 0.8349  1 Zn 2.04
O12 0.5654 0.9984 0.8349  1 Zn 2.04
O13 0.6001 0.7500 0.4245  1 Zn 1.99
O14 0.7243 0.0004 0.1413  1 Zn 2.13, 3 Dy 2.34-2.37
O15 0.7243 0.4996 0.1413  1 Zn 2.13, 3 Dy 2.34-2.37
O16 0.7757 0.9996 0.6413  1 Zn 2.13, 3 Dy 2.34-2.37
O17 0.7757 0.5004 0.6413  1 Zn 2.13, 3 Dy 2.34-2.37
O18 0.8999 0.2500 0.9245  1 Zn 1.99
O19 0.9346 0.0016 0.3349  1 Zn 2.04
O20 0.9346 0.4984 0.3349  1 Zn 2.04

---

Record 9
This record from the Open Quantum Materials Database describes an optimized crystal structure of SrLuNO. The functional is PBE.

total moment = 0.001 μB per atom
total energy = -7.043 eV/atom
relative energy among the computed polymorphs = 0 meV per atom
volume = 17.8 Å³ per atom

Lattice parameters (Å, degrees): 6.9879 8.1477 4.9961 90.00 90.00 90.00
Closest atoms and distances in Å follow each position.
Element x y z (fractional)
Sr1 0.0825 0.1350 0.0000  1 N 2.46, 4 O 2.48-2.53
Sr2 0.4175 0.1350 0.5000  1 N 2.46, 4 O 2.48-2.53
Sr3 0.5825 0.8650 0.0000  1 N 2.46, 4 O 2.48-2.53
Sr4 0.9175 0.8650 0.5000  1 N 2.46, 4 O 2.48-2.53
Lu1 0.0884 0.6136 0.9915  1 O 2.21, 3 N 2.21-2.30
Lu2 0.4116 0.6136 0.4915  1 O 2.21, 3 N 2.21-2.30
Lu3 0.5884 0.3864 0.9915  1 O 2.21, 3 N 2.21-2.30
Lu4 0.9116 0.3864 0.4915  1 O 2.21, 3 N 2.21-2.30
N1 0.0964 0.6050 0.5319  3 Lu 2.21-2.30, 1 Sr 2.46
N2 0.4036 0.6050 0.0319  3 Lu 2.21-2.30, 1 Sr 2.46
N3 0.5964 0.3950 0.5319  3 Lu 2.21-2.30, 1 Sr 2.46
N4 0.9036 0.3950 0.0319  3 Lu 2.21-2.30, 1 Sr 2.46
O1 0.0594 0.1474 0.5055  1 Lu 2.21
O2 0.4406 0.1474 0.0055  1 Lu 2.21
O3 0.5594 0.8526 0.5055  1 Lu 2.21
O4 0.9406 0.8526 0.0055  1 Lu 2.21

---

Record 10
This record from the Open Quantum Materials Database describes an optimized crystal structure of HfC. The functional is PBE.

total moment = 0.000 μB per atom
total energy = -10.534 eV/atom
relative energy among the computed polymorphs = 0 meV per atom
volume = 12.5 Å³ per atom

Lattice parameters (Å, degrees): 3.2853 3.2853 3.2853 60.00 60.00 60.00
Closest atoms and distances in Å follow each position.
Element x y z (fractional)
Hf1 0.0000 0.0000 0.0000  6 C 2.32
C1 0.5000 0.5000 0.5000  6 Hf 2.32

---

Record 11
This record from the Open Quantum Materials Database describes an optimized crystal structure of SbPAuO. The functional is PBE.

total energy = -4.668 eV/atom
relative energy among the computed polymorphs = 33 meV per atom
volume = 17.0 Å³ per atom

Lattice parameters (Å, degrees): 3.8715 3.8715 9.0789 90.00 90.00 90.00
Closest atoms and distances in Å follow each position.
Element x y z (fractional)
Sb1 0.2500 0.2500 0.1354  4 O 2.29
Sb2 0.7500 0.7500 0.8646  4 O 2.29
P1 0.2500 0.2500 0.6932  4 Au 2.61
P2 0.7500 0.7500 0.3068  4 Au 2.61
Au1 0.2500 0.7500 0.5000  4 P 2.61, 4 Au 2.74
Au2 0.7500 0.2500 0.5000  4 P 2.61, 4 Au 2.74
O1 0.2500 0.7500 0.0000  4 Sb 2.29
O2 0.7500 0.2500 0.0000  4 Sb 2.29

---

Record 12
This record from the Open Quantum Materials Database describes an optimized crystal structure of Na3PbAu5. The functional is PBE.

total energy = -2.924 eV/atom
volume = 25.1 Å³ per atom

Lattice parameters (Å, degrees): 10.9358 10.9358 10.9358 150.38 54.43 135.43
Closest atoms and distances in Å follow each position.
Element x y z (fractional)
Na1 0.1232 0.8732 0.2500  6 Au 3.45-3.54, 4 Na 3.46-3.87, 3 Pb 3.72-3.77
Na2 0.1870 0.1086 0.0784  9 Au 3.28-3.59, 3 Na 3.54-3.65
Na3 0.4698 0.8914 0.5784  9 Au 3.28-3.59, 3 Na 3.54-3.65
Na4 0.5302 0.1086 0.4216  9 Au 3.28-3.59, 3 Na 3.54-3.65
Na5 0.8130 0.8914 0.9216  9 Au 3.28-3.59, 3 Na 3.54-3.65
Na6 0.8768 0.1268 0.7500  6 Au 3.45-3.54, 4 Na 3.46-3.87, 3 Pb 3.72-3.77
Pb1 0.4278 0.6778 0.7500  2 Au 2.70
Pb2 0.5722 0.3222 0.2500  2 Au 2.70
Au1 0.0000 0.5000 0.5000  6 Au 2.78-2.84
Au2 0.1088 0.4634 0.6454  1 Pb 2.70, 3 Au 2.78-2.84
Au3 0.1881 0.0000 0.6881  6 Au 2.78-2.80
Au4 0.1881 0.5000 0.1881  6 Au 2.78-2.80
Au5 0.3181 0.4634 0.8546  1 Pb 2.70, 3 Au 2.78-2.84
Au6 0.5000 0.5000 0.0000  6 Au 2.78-2.84
Au7 0.6819 0.5366 0.1454  1 Pb 2.70, 3 Au 2.78-2.84
Au8 0.8119 0.0000 0.3119  6 Au 2.78-2.80
Au9 0.8119 0.5000 0.8119  6 Au 2.78-2.80
Au10 0.8912 0.5366 0.3546  1 Pb 2.70, 3 Au 2.78-2.84